Material: ZnCd2Au8
Method: DFT, PBE
State: optimized geometry

As for the formation energy from the elements: -0.1118 eV/atom. Its relative energy among the computed polymorphs is 0.00 eV/f.u. Its space-group type is No. 2. The value obtained for the volume is 18.9 Å³/atom.

abc: 4.8991 5.6322 7.7832
angles: 100.58 91.08 98.98
Fractional coordinates of all 11 atoms:
Zn (0.5000, 0.0000, 0.0000)
Au (0.9379, 0.7393, 0.9647)
Au (0.6113, 0.4702, 0.1843)
Au (0.3084, 0.2653, 0.4408)
Au (0.7649, 0.0256, 0.2980)
Au (0.3887, 0.5298, 0.8157)
Au (0.6916, 0.7347, 0.5592)
Au (0.2351, 0.9744, 0.7020)
Au (0.0621, 0.2607, 0.0353)
Cd (0.1752, 0.7149, 0.3321)
Cd (0.8248, 0.2851, 0.6679)